1.
# PBE LiPdO2, relaxed
# Theoretical density, Mg/m³: 6.3
# E_tot, eV per atom: -4.979
# Volume, Å³/atom: 9.64
# SG: Imm2
data_LiPdO2
_space_group_name_H-M_alt 'P 1'
_space_group_IT_number 1
_space_group_name_Hall 'P 1'
_cell_length_a 3.969
_cell_length_b 3.969
_cell_length_c 3.969
_cell_angle_alpha 138.57
_cell_angle_beta 93.22
_cell_angle_gamma 101.19
loop_
_atom_site_label
_atom_site_fract_x
_atom_site_fract_y
_atom_site_fract_z
Li1 0.494 0.994 0.500
O1 0.547 0.299 0.248
O2 0.051 0.299 0.752
Pd1 0.004 0.004 0.000

2.
# PBE Li2PdO2, relaxed
# Theoretical density, Mg/m³: 5.3
# E_tot, eV per atom: -4.768
# Volume, Å³/atom: 9.47
# SG: P-3m1
data_Li2PdO2
_space_group_name_H-M_alt 'P 1'
_space_group_IT_number 1
_space_group_name_Hall 'P 1'
_cell_length_a 3.231
_cell_length_b 3.231
_cell_length_c 5.238
_cell_angle_alpha 90.00
_cell_angle_beta 90.00
_cell_angle_gamma 120.00
loop_
_atom_site_label
_atom_site_fract_x
_atom_site_fract_y
_atom_site_fract_z
Li1 0.667 0.333 0.356
Li2 0.333 0.667 0.644
O1 0.333 0.667 0.266
O2 0.667 0.333 0.734
Pd1 0.000 0.000 0.000

3.
# PBE LiPd2O6, relaxed
# Theoretical density, Mg/m³: 5.0
# Relative energy among the computed polymorphs, eV per atom: 0.000
# Volume, Å³/atom: 11.61
# SG: C2
data_LiPd2O6
_space_group_name_H-M_alt 'P 1'
_space_group_IT_number 1
_space_group_name_Hall 'P 1'
_cell_length_a 5.147
_cell_length_b 5.147
_cell_length_c 4.810
_cell_angle_alpha 98.44
_cell_angle_beta 98.44
_cell_angle_gamma 120.83
loop_
_atom_site_label
_atom_site_fract_x
_atom_site_fract_y
_atom_site_fract_z
Li1 0.374 0.626 0.500
O1 0.556 0.932 0.236
O2 0.201 0.215 0.236
O3 0.948 0.577 0.249
O4 0.423 0.052 0.751
O5 0.785 0.799 0.764
O6 0.068 0.444 0.764
Pd1 0.827 0.173 0.000
Pd2 0.156 0.844 0.000

4.
# PBE Li3PdO4, relaxed
# Theoretical density, Mg/m³: 4.4
# Relative energy among the computed polymorphs, eV per atom: 0.055
# Volume, Å³/atom: 8.93
# SG: P2
data_Li3PdO4
_space_group_name_H-M_alt 'P 1'
_space_group_IT_number 1
_space_group_name_Hall 'P 1'
_cell_length_a 5.029
_cell_length_b 11.838
_cell_length_c 5.089
_cell_angle_alpha 90.00
_cell_angle_beta 109.33
_cell_angle_gamma 90.00
loop_
_atom_site_label
_atom_site_fract_x
_atom_site_fract_y
_atom_site_fract_z
Li1 0.500 0.134 0.000
Li2 0.500 0.382 0.000
Li3 0.000 0.499 0.000
Li4 0.500 0.607 0.000
Li5 0.500 0.874 0.000
Li6 0.500 0.017 0.500
Li7 0.000 0.133 0.500
Li8 0.500 0.259 0.500
Li9 0.000 0.382 0.500
Li10 0.500 0.494 0.500
Li11 0.000 0.611 0.500
Li12 0.500 0.731 0.500
O1 0.238 0.126 0.234
O2 0.242 0.628 0.236
O3 0.761 0.251 0.237
O4 0.242 0.370 0.241
O5 0.236 0.876 0.246
O6 0.763 0.754 0.250
O7 0.761 0.997 0.251
O8 0.747 0.498 0.255
O9 0.253 0.498 0.745
O10 0.239 0.997 0.749
O11 0.237 0.754 0.750
O12 0.764 0.876 0.754
O13 0.758 0.370 0.759
O14 0.239 0.251 0.763
O15 0.758 0.628 0.764
O16 0.762 0.126 0.766
Pd1 0.000 0.004 0.000
Pd2 0.000 0.259 0.000
Pd3 0.000 0.741 0.000
Pd4 0.000 0.875 0.500

5.
# PBE LiPdO4, relaxed
# Theoretical density, Mg/m³: 4.7
# Relative energy among the computed polymorphs, eV per atom: 0.000
# Volume, Å³/atom: 10.46
# SG: P2/c
data_LiPdO4
_space_group_name_H-M_alt 'P 1'
_space_group_IT_number 1
_space_group_name_Hall 'P 1'
_cell_length_a 4.135
_cell_length_b 5.890
_cell_length_c 5.161
_cell_angle_alpha 90.00
_cell_angle_beta 93.16
_cell_angle_gamma 90.00
loop_
_atom_site_label
_atom_site_fract_x
_atom_site_fract_y
_atom_site_fract_z
Li1 0.500 0.332 0.250
Li2 0.500 0.668 0.750
O1 0.233 0.120 0.087
O2 0.372 0.648 0.157
O3 0.628 0.648 0.343
O4 0.767 0.120 0.413
O5 0.233 0.880 0.587
O6 0.372 0.352 0.657
O7 0.628 0.352 0.843
O8 0.767 0.880 0.913
Pd1 0.000 0.870 0.250
Pd2 0.000 0.130 0.750

6.
# PBE Li8Pd4O11, relaxed
# Theoretical density, Mg/m³: 5.1
# Relative energy among the computed polymorphs, eV per atom: 0.000
# Volume, Å³/atom: 9.34
# SG: P1
data_Li8Pd4O11
_space_group_name_H-M_alt 'P 1'
_space_group_IT_number 1
_space_group_name_Hall 'P 1'
_cell_length_a 10.253
_cell_length_b 5.099
_cell_length_c 5.052
_cell_angle_alpha 99.57
_cell_angle_beta 99.71
_cell_angle_gamma 120.23
loop_
_atom_site_label
_atom_site_fract_x
_atom_site_fract_y
_atom_site_fract_z
Li1 0.750 0.494 0.003
Li2 0.830 0.331 0.495
Li3 0.999 0.000 0.497
Li4 0.173 0.669 0.502
Li5 0.684 0.664 0.507
Li6 0.319 0.311 0.512
Li7 0.504 0.030 0.518
Li8 0.240 0.501 0.975
O1 0.787 0.916 0.238
O2 0.963 0.580 0.240
O3 0.120 0.242 0.240
O4 0.293 0.936 0.242
O5 0.615 0.228 0.244
O6 0.379 0.739 0.747
O7 0.712 0.079 0.755
O8 0.540 0.422 0.755
O9 0.036 0.422 0.759
O10 0.884 0.764 0.760
O11 0.212 0.088 0.767
Pd1 0.577 0.814 0.000
Pd2 0.085 0.837 0.001
Pd3 0.422 0.188 0.004
Pd4 0.915 0.165 0.000

7.
# PBE Li7PdO6, relaxed
# Theoretical density, Mg/m³: 3.4
# E_tot, eV per atom: -4.916
# Volume, Å³/atom: 8.87
# SG: R3
data_Li7PdO6
_space_group_name_H-M_alt 'P 1'
_space_group_IT_number 1
_space_group_name_Hall 'P 1'
_cell_length_a 5.520
_cell_length_b 5.520
_cell_length_c 5.684
_cell_angle_alpha 60.95
_cell_angle_beta 119.06
_cell_angle_gamma 120.02
loop_
_atom_site_label
_atom_site_fract_x
_atom_site_fract_y
_atom_site_fract_z
Li1 0.342 0.658 0.026
Li2 0.766 0.500 0.324
Li3 0.500 0.942 0.324
Li4 0.058 0.234 0.324
Li5 0.876 0.726 0.669
Li6 0.519 0.124 0.670
Li7 0.274 0.481 0.670
O1 0.759 0.884 0.243
O2 0.116 0.633 0.243
O3 0.367 0.241 0.243
O4 0.617 0.791 0.752
O5 0.209 0.074 0.752
O6 0.926 0.383 0.752
Pd1 0.000 0.000 0.999

8.
# PBE Li6Pd2O7, relaxed
# Theoretical density, Mg/m³: 4.3
# E_tot, eV per atom: -5.108
# Volume, Å³/atom: 9.51
# SG: P-1
data_Li6Pd2O7
_space_group_name_H-M_alt 'P 1'
_space_group_IT_number 1
_space_group_name_Hall 'P 1'
_cell_length_a 5.110
_cell_length_b 5.826
_cell_length_c 5.094
_cell_angle_alpha 89.37
_cell_angle_beta 100.13
_cell_angle_gamma 106.91
loop_
_atom_site_label
_atom_site_fract_x
_atom_site_fract_y
_atom_site_fract_z
Li1 0.965 0.505 0.005
Li2 0.980 0.983 0.012
Li3 0.526 0.370 0.294
Li4 0.974 0.255 0.456
Li5 0.520 0.642 0.738
Li6 0.535 0.120 0.745
O1 0.730 0.179 0.110
O2 0.739 0.685 0.146
O3 0.253 0.057 0.369
O4 0.247 0.568 0.381
O5 0.761 0.940 0.604
O6 0.770 0.446 0.640
O7 0.250 0.812 0.875
Pd1 0.498 0.879 0.245
Pd2 0.002 0.746 0.505

9.
# PBE Li2Pd3O4, relaxed
# Theoretical density, Mg/m³: 6.6
# E_tot, eV per atom: -5.257
# Volume, Å³/atom: 11.07
# SG: Immm
data_Li2Pd3O4
_space_group_name_H-M_alt 'P 1'
_space_group_IT_number 1
_space_group_name_Hall 'P 1'
_cell_length_a 6.896
_cell_length_b 6.896
_cell_length_c 6.896
_cell_angle_alpha 155.07
_cell_angle_beta 133.58
_cell_angle_gamma 53.40
loop_
_atom_site_label
_atom_site_fract_x
_atom_site_fract_y
_atom_site_fract_z
Li1 0.307 0.307 0.000
Li2 0.693 0.693 0.000
O1 0.386 0.128 0.257
O2 0.129 0.872 0.257
O3 0.871 0.128 0.743
O4 0.614 0.872 0.743
Pd1 0.500 0.000 0.500
Pd2 0.883 0.383 0.500
Pd3 0.117 0.617 0.500

10.
# PBE Li8PdO6, relaxed
# Theoretical density, Mg/m³: 3.4
# E_tot, eV per atom: -4.944
# Volume, Å³/atom: 8.40
# SG: R-3
data_Li8PdO6
_space_group_name_H-M_alt 'P 1'
_space_group_IT_number 1
_space_group_name_Hall 'P 1'
_cell_length_a 5.878
_cell_length_b 5.878
_cell_length_c 5.878
_cell_angle_alpha 54.74
_cell_angle_beta 54.74
_cell_angle_gamma 54.74
loop_
_atom_site_label
_atom_site_fract_x
_atom_site_fract_y
_atom_site_fract_z
Li1 0.768 0.484 0.100
Li2 0.516 0.900 0.232
Li3 0.342 0.342 0.342
Li4 0.100 0.768 0.484
Li5 0.900 0.232 0.516
Li6 0.658 0.658 0.658
Li7 0.484 0.100 0.768
Li8 0.232 0.516 0.900
O1 0.386 0.762 0.092
O2 0.908 0.614 0.238
O3 0.762 0.092 0.386
O4 0.238 0.908 0.614
O5 0.092 0.386 0.762
O6 0.614 0.238 0.908
Pd1 0.000 0.000 0.000

11.
# PBE Li4PrPdO6, relaxed
# Theoretical density, Mg/m³: 4.9
# E_tot, eV per atom: -5.617
# Volume, Å³/atom: 10.43
# Total magnetization, μB per atom: 0.08
# SG: C2
data_Li4PrPdO6
_space_group_name_H-M_alt 'P 1'
_space_group_IT_number 1
_space_group_name_Hall 'P 1'
_cell_length_a 5.458
_cell_length_b 5.458
_cell_length_c 5.180
_cell_angle_alpha 99.22
_cell_angle_beta 99.22
_cell_angle_gamma 120.98
loop_
_atom_site_label
_atom_site_fract_x
_atom_site_fract_y
_atom_site_fract_z
Li1 0.503 0.497 0.000
Li2 0.649 0.351 0.500
Li3 0.312 0.688 0.500
Li4 0.026 0.974 0.500
O1 0.929 0.614 0.241
O2 0.266 0.218 0.251
O3 0.534 0.892 0.254
O4 0.108 0.466 0.746
O5 0.782 0.734 0.749
O6 0.386 0.071 0.759
Pd1 0.167 0.833 0.000
Pr1 0.838 0.162 0.000

12.
# PBE RbLiPdO2, relaxed
# Theoretical density, Mg/m³: 4.8
# E_tot, eV per atom: -4.577
# Volume, Å³/atom: 15.99
# SG: Imm2
data_RbLiPdO2
_space_group_name_H-M_alt 'P 1'
_space_group_IT_number 1
_space_group_name_Hall 'P 1'
_cell_length_a 5.667
_cell_length_b 5.667
_cell_length_c 5.667
_cell_angle_alpha 148.04
_cell_angle_beta 122.81
_cell_angle_gamma 67.03
loop_
_atom_site_label
_atom_site_fract_x
_atom_site_fract_y
_atom_site_fract_z
Li1 0.285 0.285 0.000
O1 0.879 0.379 0.500
O2 0.170 0.670 0.500
Pd1 0.017 0.017 0.000
Rb1 0.650 0.650 0.000